Entry 1:
Material: Ce4H11
Method: DFT, meta-GGA SCAN
State: PBEsol geometry

Cell and atoms, written as POSCAR:
```
Ce4H11
1.0
-2.6775 2.6775 5.2839
2.6775 -2.6775 5.2839
2.6775 2.6775 -5.2839
Ce H
4 11
Direct
0.0000 0.5000 0.5000
0.2399 0.2399 0.0000
0.5000 0.0000 0.5000
0.7601 0.7601 0.0000
0.0000 0.0000 0.0000
0.1423 0.1423 0.5285
0.1423 0.6138 0.0000
0.2500 0.7500 0.5000
0.3862 0.3862 0.5285
0.3862 0.8577 0.0000
0.6138 0.1423 0.0000
0.6138 0.6138 0.4715
0.7500 0.2500 0.5000
0.8577 0.3862 0.0000
0.8577 0.8577 0.4715
```

Calculated values
Its space-group type is I4/mmm (139).

***

Entry 2:
Material: Ba4P2O
Method: DFT, meta-GGA SCAN
State: PBEsol geometry

Cell and atoms, written as POSCAR:
```
Ba4P2O
1.0
3.5649 -8.1552 0.0000
3.5649 8.1552 0.0000
0.0000 0.0000 7.5330
Ba P O
8 4 2
Direct
0.1766 0.8234 0.9323
0.2295 0.2705 0.7500
0.2705 0.2295 0.2500
0.3234 0.6766 0.4323
0.6766 0.3234 0.5677
0.7295 0.7705 0.7500
0.7705 0.7295 0.2500
0.8234 0.1766 0.0677
0.1341 0.8659 0.5253
0.3659 0.6341 0.0253
0.6341 0.3659 0.9747
0.8659 0.1341 0.4747
0.0000 0.0000 0.0000
0.5000 0.5000 0.5000
```

Calculated values
Its space-group type is Cmce (64). The calculation puts the uncorrected formation energy at -1.621 eV/atom.

***

Entry 3:
Material: HgPRhCl2
Method: DFT, meta-GGA SCAN
State: PBEsol geometry

Cell and atoms, written as POSCAR:
```
HgPRhCl2
1.0
4.8345 0.0000 0.0000
0.0000 4.8345 0.0000
0.0000 0.0000 4.4687
Hg P Rh Cl
1 1 1 2
Direct
0.0000 0.0000 0.0000
0.5000 0.5000 0.0000
0.5000 0.5000 0.5000
0.0000 0.5000 0.5000
0.5000 0.0000 0.5000
```

Calculated values
Its space-group type is P4/mmm (123). The calculation puts the uncorrected formation energy at -0.010 eV/atom.

***

Entry 4:
Material: Ba2HfHgF
Method: DFT, meta-GGA SCAN
State: PBEsol geometry

Cell and atoms, written as POSCAR:
```
Ba2HfHgF
1.0
6.5641 0.0000 0.0000
0.0000 6.5641 0.0000
0.0000 0.0000 4.0513
Ba Hf Hg F
2 1 1 1
Direct
0.0000 0.5000 0.0000
0.5000 0.0000 0.0000
0.0000 0.0000 0.0000
0.5000 0.5000 0.5000
0.0000 0.0000 0.5000
```

Calculated values
Its space-group type is P4/mmm (123). The calculation puts the uncorrected formation energy at -0.521 eV/atom.

***

Entry 5:
Material: Li2InMo
Method: DFT, meta-GGA SCAN
State: PBEsol geometry

Cell and atoms, written as POSCAR:
```
Li2InMo
1.0
2.7376 0.0000 0.0000
0.0000 4.8455 0.0000
-0.2480 0.0000 5.0614
Li In Mo
2 1 1
Direct
0.2014 0.0000 0.2226
0.7986 0.0000 0.7774
0.0000 0.5000 0.5000
0.5000 0.5000 0.0000
```

Calculated values
As for the formation energy: 0.22 eV/atom. Its space-group type is P2/m (10).

***

Entry 6:
Material: Mn3O5F
Method: DFT, meta-GGA SCAN
State: PBEsol geometry

Cell and atoms, written as POSCAR:
```
Mn3O5F
1.0
8.5818 0.0000 0.0000
0.0000 3.0858 3.2220
0.0000 -3.0858 3.2220
Mn O F
6 10 2
Direct
0.0000 0.9995 0.9995
0.1592 0.5000 0.5000
0.3303 0.9746 0.9746
0.5000 0.5145 0.5145
0.6697 0.9746 0.9746
0.8408 0.5000 0.5000
0.0000 0.3009 0.3009
0.0000 0.6896 0.6896
0.1671 0.1856 0.7921
0.1671 0.7921 0.1856
0.3265 0.6843 0.6843
0.5000 0.1815 0.7888
0.5000 0.7888 0.1815
0.6735 0.6843 0.6843
0.8329 0.1856 0.7921
0.8329 0.7921 0.1856
0.3334 0.2872 0.2872
0.6666 0.2872 0.2872
```

Calculated values
As for the energy above the most stable polymorph in this dataset: 0.007 eV per atom. Its space-group type is Amm2 (38). The calculation puts the uncorrected formation energy at -2.207 eV/atom.

***

Q: Which total energy values were calculated for the entries above? A: -15.032; -28.083; -25.668; -43.217; -18.041; -12.147, in eV/atom.